Record 1
# GGA-PBE Th6Si2PSe3, optimized geometry
data_Th6Si2PSe3
_cell_length_a 18.441
_cell_length_b 4.235
_cell_length_c 8.446
_cell_angle_alpha 90.00
_cell_angle_beta 103.59
_cell_angle_gamma 90.00
_space_group_name_H-M_alt 'C 1 2/m 1'
_space_group_IT_number 12
_space_group_name_Hall '-C 2y'
loop_
_atom_site_label
_atom_site_type_symbol
_atom_site_fract_x
_atom_site_fract_y
_atom_site_fract_z
_atom_site_occupancy
Th1 Th 0.003 0.000 0.236 1
Th2 Th 0.161 0.500 0.091 1
Th3 Th 0.171 0.500 0.573 1
Si1 Si 0.166 0.000 0.332 1
P1 P 0.000 0.500 0.000 1
Se1 Se 0.000 0.500 0.500 1
Se2 Se 0.168 0.000 0.833 1
# **Formation energy (no corrections)**: -15.852 eV/f.u.

---

Record 2
# GGA-PBE Th6SiP2Se3, optimized geometry
data_Th6SiP2Se3
_cell_length_a 18.365
_cell_length_b 4.204
_cell_length_c 8.404
_cell_angle_alpha 90.00
_cell_angle_beta 103.96
_cell_angle_gamma 90.00
_space_group_name_H-M_alt 'C 1 2/m 1'
_space_group_IT_number 12
_space_group_name_Hall '-C 2y'
loop_
_atom_site_label
_atom_site_type_symbol
_atom_site_fract_x
_atom_site_fract_y
_atom_site_fract_z
_atom_site_occupancy
Th1 Th 0.006 0.000 0.243 1
Th2 Th 0.164 0.500 0.097 1
Th3 Th 0.171 0.500 0.572 1
Si1 Si 0.000 0.500 0.000 1
P1 P 0.168 0.000 0.335 1
Se1 Se 0.000 0.500 0.500 1
Se2 Se 0.165 0.000 0.833 1
# **Formation energy (no corrections)**: -17.521 eV/f.u.

---

Record 3
# GGA-PBE Th4SiP2Se, optimized geometry
data_Th4SiP2Se
_cell_length_a 7.258
_cell_length_b 4.183
_cell_length_c 7.280
_cell_angle_alpha 90.00
_cell_angle_beta 109.32
_cell_angle_gamma 90.00
_space_group_name_H-M_alt 'P 1 2/m 1'
_space_group_IT_number 10
_space_group_name_Hall '-P 2y'
loop_
_atom_site_label
_atom_site_type_symbol
_atom_site_fract_x
_atom_site_fract_y
_atom_site_fract_z
_atom_site_occupancy
Th1 Th 0.237 0.000 0.235 1
Th2 Th 0.246 0.500 0.759 1
Si1 Si 0.000 0.000 0.500 1
P1 P 0.000 0.500 0.000 1
P2 P 0.500 0.000 0.000 1
Se1 Se 0.500 0.500 0.500 1
# **Formation energy (no corrections)**: -10.912 eV/f.u.

---

Record 4
# GGA-PBE Th6Si2P3Se, optimized geometry
data_Th6Si2P3Se
_cell_length_a 18.302
_cell_length_b 4.194
_cell_length_c 8.408
_cell_angle_alpha 90.00
_cell_angle_beta 103.29
_cell_angle_gamma 90.00
_space_group_name_H-M_alt 'C 1 2/m 1'
_space_group_IT_number 12
_space_group_name_Hall '-C 2y'
loop_
_atom_site_label
_atom_site_type_symbol
_atom_site_fract_x
_atom_site_fract_y
_atom_site_fract_z
_atom_site_occupancy
Th1 Th 0.001 0.000 0.236 1
Th2 Th 0.167 0.500 0.086 1
Th3 Th 0.172 0.500 0.584 1
Si1 Si 0.165 0.000 0.831 1
P1 P 0.000 0.500 0.000 1
P2 P 0.165 0.000 0.334 1
Se1 Se 0.000 0.500 0.500 1
# **Formation energy (no corrections)**: -15.288 eV/f.u.

---

Record 5
# GGA-PBE Th6SiP3Se2, optimized geometry
data_Th6SiP3Se2
_cell_length_a 18.284
_cell_length_b 4.186
_cell_length_c 8.386
_cell_angle_alpha 90.00
_cell_angle_beta 103.76
_cell_angle_gamma 90.00
_space_group_name_H-M_alt 'C 1 2/m 1'
_space_group_IT_number 12
_space_group_name_Hall '-C 2y'
loop_
_atom_site_label
_atom_site_type_symbol
_atom_site_fract_x
_atom_site_fract_y
_atom_site_fract_z
_atom_site_occupancy
Th1 Th 0.004 0.000 0.249 1
Th2 Th 0.161 0.500 0.095 1
Th3 Th 0.167 0.500 0.569 1
Si1 Si 0.000 0.500 0.500 1
P1 P 0.000 0.500 0.000 1
P2 P 0.168 0.000 0.332 1
Se1 Se 0.168 0.000 0.835 1
# **Formation energy (no corrections)**: -17.311 eV/f.u.

---

Record 6
# GGA-PBE Th8Si3PSe4, optimized geometry
data_Th8Si3PSe4
_cell_length_a 8.4637
_cell_length_b 8.4637
_cell_length_c 20.7751
_cell_angle_alpha 90.00
_cell_angle_beta 90.00
_cell_angle_gamma 120.00
_space_group_name_H-M_alt 'R -3 m'
_space_group_IT_number 166
_space_group_name_Hall '-R 3 2"'
loop_
_atom_site_label
_atom_site_type_symbol
_atom_site_fract_x
_atom_site_fract_y
_atom_site_fract_z
_atom_site_occupancy
Th1 Th 0.0000 0.0000 0.2443 1
Th2 Th 0.0035 0.5017 0.2434 1
Si1 Si 0.0000 0.5000 0.5000 1
P1 P 0.0000 0.0000 0.5000 1
Se1 Se 0.0000 0.0000 0.0000 1
Se2 Se 0.0000 0.5000 0.0000 1
# **Formation energy (no corrections)**: -20.631 eV/f.u.

---

Record 7
# GGA-PBE Th4SiPSe2, optimized geometry
data_Th4SiPSe2
_cell_length_a 7.271
_cell_length_b 4.212
_cell_length_c 7.333
_cell_angle_alpha 90.00
_cell_angle_beta 109.47
_cell_angle_gamma 90.00
_space_group_name_H-M_alt 'P 1 2/m 1'
_space_group_IT_number 10
_space_group_name_Hall '-P 2y'
loop_
_atom_site_label
_atom_site_type_symbol
_atom_site_fract_x
_atom_site_fract_y
_atom_site_fract_z
_atom_site_occupancy
Th1 Th 0.241 0.000 0.230 1
Th2 Th 0.253 0.500 0.768 1
Si1 Si 0.500 0.000 0.000 1
P1 P 0.000 0.500 0.000 1
Se1 Se 0.000 0.000 0.500 1
Se2 Se 0.500 0.500 0.500 1
# **Formation energy (no corrections)**: -11.150 eV/f.u.

---

Record 8
# GGA-PBE Tm6SiP2Se3, optimized geometry
data_Tm6SiP2Se3
_cell_length_a 17.562
_cell_length_b 3.998
_cell_length_c 8.063
_cell_angle_alpha 90.00
_cell_angle_beta 104.02
_cell_angle_gamma 90.00
_space_group_name_H-M_alt 'C 1 2/m 1'
_space_group_IT_number 12
_space_group_name_Hall '-C 2y'
loop_
_atom_site_label
_atom_site_type_symbol
_atom_site_fract_x
_atom_site_fract_y
_atom_site_fract_z
_atom_site_occupancy
Tm1 Tm 0.004 0.000 0.240 1
Tm2 Tm 0.162 0.500 0.095 1
Tm3 Tm 0.172 0.500 0.571 1
Si1 Si 0.000 0.500 0.000 1
P1 P 0.167 0.000 0.335 1
Se1 Se 0.000 0.500 0.500 1
Se2 Se 0.168 0.000 0.832 1
# **Formation energy (no corrections)**: -19.112 eV/f.u.